Record 1
# Mg5ZnHg GGA-PBE optimized geometry
# Electronic total energy   -1.374 eV per atom
# Space group   C2/c, No. 15
# ΔH_f (0 K)   -0.01 eV/atom
# Size of the total moment   0.00 μB/cell
data_Mg5ZnHg
_symmetry_space_group_name_H-M 'P 1'
_symmetry_Int_Tables_number 1
_cell_length_a 7.446
_cell_length_b 7.446
_cell_length_c 6.127
_cell_angle_alpha 105.27
_cell_angle_beta 105.27
_cell_angle_gamma 92.91
loop_
_symmetry_equiv_pos_as_xyz
'x,y,z'
loop_
_atom_site_label
_atom_site_fract_x
_atom_site_fract_y
_atom_site_fract_z
Mg1 0.110 0.890 0.750
Mg2 0.218 0.274 0.127
Mg3 0.274 0.218 0.627
Mg4 0.332 0.621 0.984
Mg5 0.379 0.668 0.516
Mg6 0.621 0.332 0.484
Mg7 0.668 0.379 0.016
Mg8 0.726 0.782 0.373
Mg9 0.782 0.726 0.873
Mg10 0.890 0.110 0.250
Zn1 0.140 0.860 0.250
Zn2 0.860 0.140 0.750
Hg1 0.000 0.500 0.500
Hg2 0.500 0.000 0.000

---

Record 2
# MgZnHg2 GGA-PBE optimized geometry
# Electronic total energy   -0.909 eV per atom
# Space group   Pmm2, No. 25
# ΔH_f (0 K)   -0.04 eV/atom
# Size of the total moment   0.00 μB/cell
data_MgZnHg2
_symmetry_space_group_name_H-M 'P 1'
_symmetry_Int_Tables_number 1
_cell_length_a 3.629
_cell_length_b 4.028
_cell_length_c 5.781
_cell_angle_alpha 90.00
_cell_angle_beta 90.00
_cell_angle_gamma 90.00
loop_
_symmetry_equiv_pos_as_xyz
'x,y,z'
loop_
_atom_site_label
_atom_site_fract_x
_atom_site_fract_y
_atom_site_fract_z
Mg1 0.000 0.000 0.000
Zn1 0.500 0.500 0.282
Hg1 0.000 0.000 0.483
Hg2 0.500 0.500 0.786